ScBe2Tl: optimized geometry, PBE-GGA.

a = 8.8658 Å, b = 8.8658 Å, c = 8.8658 Å
α = 152.02°, β = 152.02°, γ = 39.99°
Fractional positions:
Sc 0.3750 0.6250 0.7500
Sc 0.6250 0.3750 0.2500
Be 0.0000 0.0000 0.0000
Be 0.0000 0.0000 0.5000
Be 0.0000 0.5000 0.0000
Be 0.5000 0.0000 0.5000
Tl 0.1250 0.8750 0.2500
Tl 0.8750 0.1250 0.7500

Properties
E   -3.57 eV per atom
DFT formation energy   470 meV/atom
D(E_F)   2.59 states/eV/cell